<P>
VASP calculation (PBE) on ZrRePb after structural relaxation. Values from VASP.

Quantum ESPRESSO input file:
```
&SYSTEM
  ibrav = 0, nat = 3, ntyp = 3
/
ATOMIC_SPECIES
Zr 91.22 Zr.upf
Re 186.21 Re.upf
Pb 207.20 Pb.upf
CELL_PARAMETERS angstrom
3.3097 0.0000 0.0000
-1.6549 2.8663 0.0000
0.0000 0.0000 6.8881
ATOMIC_POSITIONS crystal
Zr 0.0000 0.0000 0.0000
Re 0.3333 0.6667 0.7255
Pb 0.6667 0.3333 0.3902
```

Size of the total moment: 0.00 μB/cell
Density: 12.32 Mg/m³
Space-group type: P3m1

=====

<Q>
VASP calculation (PBE) on ZrRePb after structural relaxation. Values from VASP.

Quantum ESPRESSO input file:
```
&SYSTEM
  ibrav = 0, nat = 3, ntyp = 3
/
ATOMIC_SPECIES
Zr 91.22 Zr.upf
Re 186.21 Re.upf
Pb 207.20 Pb.upf
CELL_PARAMETERS angstrom
0.0000 2.6117 7.0572
1.7223 0.0000 7.0572
1.7223 2.6117 0.0000
ATOMIC_POSITIONS crystal
Zr 0.0000 0.0000 0.0000
Re 0.3568 0.3568 0.6432
Pb 0.6882 0.6882 0.3118
```

Size of the total moment: 0.00 μB/cell
Density: 12.68 Mg/m³
Space-group type: Fmm2

=====

<R>
VASP calculation (PBE) on ZrRePb after structural relaxation. Values from VASP.

Quantum ESPRESSO input file:
```
&SYSTEM
  ibrav = 0, nat = 3, ntyp = 3
/
ATOMIC_SPECIES
Zr 91.22 Zr.upf
Re 186.21 Re.upf
Pb 207.20 Pb.upf
CELL_PARAMETERS angstrom
0.0000 3.2804 3.2804
3.2804 0.0000 3.2804
3.2804 3.2804 0.0000
ATOMIC_POSITIONS crystal
Zr 0.0000 0.0000 0.0000
Re 0.2500 0.2500 0.2500
Pb 0.5000 0.5000 0.5000
```

Size of the total moment: 0.00 μB/cell
Density: 11.40 Mg/m³
Space-group type: F-43m

=====

<S>
VASP calculation (PBE) on ZrRePb after structural relaxation. Values from VASP.

Quantum ESPRESSO input file:
```
&SYSTEM
  ibrav = 0, nat = 3, ntyp = 3
/
ATOMIC_SPECIES
Zr 91.22 Zr.upf
Re 186.21 Re.upf
Pb 207.20 Pb.upf
CELL_PARAMETERS angstrom
4.8705 0.0000 0.0000
-2.4353 4.2180 0.0000
0.0000 0.0000 2.9617
ATOMIC_POSITIONS crystal
Zr 0.0000 0.0000 0.0000
Re 0.3333 0.6667 0.5932
Pb 0.6667 0.3333 0.5447
```

Size of the total moment: 0.00 μB/cell
Density: 13.23 Mg/m³
Space-group type: P3m1

=====

Winner for stability: <S>

=====

<P>
VASP calculation (PBE) on Rh5Pb4 after structural relaxation. Values from VASP.

Quantum ESPRESSO input file:
```
&SYSTEM
  ibrav = 0, nat = 9, ntyp = 2
/
ATOMIC_SPECIES
Rh 102.91 Rh.upf
Pb 207.20 Pb.upf
CELL_PARAMETERS angstrom
-4.6165 4.6165 2.0625
4.6165 -4.6165 2.0625
4.6165 4.6165 -2.0625
ATOMIC_POSITIONS crystal
Rh 0.0000 0.0000 0.0000
Rh 0.3379 0.3379 0.6758
Rh 0.3379 0.6621 0.0000
Rh 0.6621 0.3379 0.0000
Rh 0.6621 0.6621 0.3242
Pb 0.0000 0.2938 0.2938
Pb 0.0000 0.7062 0.7062
Pb 0.2938 0.0000 0.2938
Pb 0.7062 0.0000 0.7062
```

Size of the total moment: 0.00 μB/cell
Density: 12.69 Mg/m³
Space-group type: I4/mmm

=====

<Q>
VASP calculation (PBE) on Rh5Pb4 after structural relaxation. Values from VASP.

Quantum ESPRESSO input file:
```
&SYSTEM
  ibrav = 0, nat = 18, ntyp = 2
/
ATOMIC_SPECIES
Rh 102.91 Rh.upf
Pb 207.20 Pb.upf
CELL_PARAMETERS angstrom
8.0623 0.0000 0.0000
-4.0311 6.9821 0.0000
0.0000 0.0000 6.0322
ATOMIC_POSITIONS crystal
Rh 0.0000 0.2863 0.2500
Rh 0.0000 0.7137 0.7500
Rh 0.2863 0.0000 0.2500
Rh 0.2863 0.2863 0.7500
Rh 0.3333 0.6667 0.0000
Rh 0.3333 0.6667 0.5000
Rh 0.6667 0.3333 0.0000
Rh 0.6667 0.3333 0.5000
Rh 0.7137 0.0000 0.7500
Rh 0.7137 0.7137 0.2500
Pb 0.0000 0.0000 0.0000
Pb 0.0000 0.0000 0.5000
Pb 0.0000 0.3826 0.7500
Pb 0.0000 0.6174 0.2500
Pb 0.3826 0.0000 0.7500
Pb 0.3826 0.3826 0.2500
Pb 0.6174 0.0000 0.2500
Pb 0.6174 0.6174 0.7500
```

Size of the total moment: 0.00 μB/cell
Density: 13.14 Mg/m³
Space-group type: P6_3/mcm

=====

Winner for stability: <P>

=====

<P>
VASP calculation (PBE) on Rh4Pb after structural relaxation. Values from VASP.

Quantum ESPRESSO input file:
```
&SYSTEM
  ibrav = 0, nat = 5, ntyp = 2
/
ATOMIC_SPECIES
Rh 102.91 Rh.upf
Pb 207.20 Pb.upf
CELL_PARAMETERS angstrom
-3.1481 3.1481 1.9968
3.1481 -3.1481 1.9968
3.1481 3.1481 -1.9968
ATOMIC_POSITIONS crystal
Rh 0.0987 0.3104 0.4091
Rh 0.3104 0.9013 0.2116
Rh 0.6896 0.0987 0.7884
Rh 0.9013 0.6896 0.5909
Pb 0.5000 0.5000 0.0000
```

Size of the total moment: 0.00 μB/cell
Density: 12.98 Mg/m³
Space-group type: I4/m

=====

<Q>
VASP calculation (PBE) on Rh4Pb after structural relaxation. Values from VASP.

Quantum ESPRESSO input file:
```
&SYSTEM
  ibrav = 0, nat = 5, ntyp = 2
/
ATOMIC_SPECIES
Rh 102.91 Rh.upf
Pb 207.20 Pb.upf
CELL_PARAMETERS angstrom
4.9136 0.0000 0.0000
0.0000 4.9136 0.0000
0.0000 0.0000 4.9136
ATOMIC_POSITIONS crystal
Rh 0.0000 0.0000 0.0000
Rh 0.0000 0.5000 0.5000
Rh 0.5000 0.0000 0.5000
Rh 0.5000 0.5000 0.0000
Pb 0.5000 0.5000 0.5000
```

Size of the total moment: 3.65 μB/cell
Density: 8.66 Mg/m³
Space-group type: Pm-3m

=====

Winner for stability: <P>

=====

<P>
VASP calculation (PBE) on Rh3Pb5 after structural relaxation. Values from VASP.

Quantum ESPRESSO input file:
```
&SYSTEM
  ibrav = 0, nat = 16, ntyp = 2
/
ATOMIC_SPECIES
Rh 102.91 Rh.upf
Pb 207.20 Pb.upf
CELL_PARAMETERS angstrom
8.2353 0.0000 0.0000
-4.1177 7.1320 0.0000
0.0000 0.0000 6.1553
ATOMIC_POSITIONS crystal
Rh 0.0000 0.4140 0.2500
Rh 0.0000 0.5860 0.7500
Rh 0.4140 0.0000 0.2500
Rh 0.4140 0.4140 0.7500
Rh 0.5860 0.0000 0.7500
Rh 0.5860 0.5860 0.2500
Pb 0.0000 0.2460 0.7500
Pb 0.0000 0.7540 0.2500
Pb 0.2460 0.0000 0.7500
Pb 0.2460 0.2460 0.2500
Pb 0.3333 0.6667 0.0000
Pb 0.3333 0.6667 0.5000
Pb 0.6667 0.3333 0.0000
Pb 0.6667 0.3333 0.5000
Pb 0.7540 0.0000 0.2500
Pb 0.7540 0.7540 0.7500
```

Size of the total moment: 0.00 μB/cell
Density: 12.35 Mg/m³
Space-group type: P6_3/mcm

=====

<Q>
VASP calculation (PBE) on Rh3Pb5 after structural relaxation. Values from VASP.

Quantum ESPRESSO input file:
```
&SYSTEM
  ibrav = 0, nat = 16, ntyp = 2
/
ATOMIC_SPECIES
Rh 102.91 Rh.upf
Pb 207.20 Pb.upf
CELL_PARAMETERS angstrom
6.4481 0.0000 0.0000
0.8695 7.1913 0.0000
2.3123 0.1329 8.0455
ATOMIC_POSITIONS crystal
Rh 0.0397 0.3150 0.4274
Rh 0.2443 0.4693 0.0017
Rh 0.3312 0.0345 0.8004
Rh 0.6688 0.9655 0.1996
Rh 0.7557 0.5307 0.9983
Rh 0.9603 0.6850 0.5726
Pb 0.0235 0.1681 0.1307
Pb 0.1005 0.3638 0.7307
Pb 0.2666 0.9520 0.4685
Pb 0.3890 0.7949 0.0767
Pb 0.4699 0.3687 0.2996
Pb 0.5301 0.6313 0.7004
Pb 0.6110 0.2051 0.9233
Pb 0.7334 0.0480 0.5315
Pb 0.8995 0.6362 0.2693
Pb 0.9765 0.8319 0.8693
```

Size of the total moment: 0.00 μB/cell
Density: 11.97 Mg/m³
Space-group type: P-1

=====

<R>
VASP calculation (PBE) on Rh3Pb5 after structural relaxation. Values from VASP.

Quantum ESPRESSO input file:
```
&SYSTEM
  ibrav = 0, nat = 8, ntyp = 2
/
ATOMIC_SPECIES
Rh 102.91 Rh.upf
Pb 207.20 Pb.upf
CELL_PARAMETERS angstrom
4.0450 -5.0964 0.0000
4.0450 5.0964 0.0000
0.0000 0.0000 4.3919
ATOMIC_POSITIONS crystal
Rh 0.0000 0.0000 0.0000
Rh 0.2298 0.7702 0.5000
Rh 0.7702 0.2298 0.5000
Pb 0.0000 0.5000 0.0000
Pb 0.2108 0.2108 0.5000
Pb 0.5000 0.0000 0.0000
Pb 0.5000 0.5000 0.0000
Pb 0.7892 0.7892 0.5000
```

Size of the total moment: 0.00 μB/cell
Density: 12.33 Mg/m³
Space-group type: Cmmm

=====

Winner for stability: <Q>

=====

<P>
VASP calculation (PBE) on RhPb3S after structural relaxation. Values from VASP.

Quantum ESPRESSO input file:
```
&SYSTEM
  ibrav = 0, nat = 5, ntyp = 3
/
ATOMIC_SPECIES
Rh 102.91 Rh.upf
Pb 207.20 Pb.upf
S 32.06 S.upf
CELL_PARAMETERS angstrom
5.3958 0.0000 0.0000
0.0000 5.3958 0.0000
0.0000 0.0000 5.3958
ATOMIC_POSITIONS crystal
Rh 0.0000 0.0000 0.0000
Pb 0.0000 0.5000 0.5000
Pb 0.5000 0.0000 0.5000
Pb 0.5000 0.5000 0.0000
S 0.5000 0.5000 0.5000
```

Size of the total moment: 0.00 μB/cell
Density: 8.00 Mg/m³
Space-group type: Pm-3m

=====

<Q>
VASP calculation (PBE) on RhPb3S after structural relaxation. Values from VASP.

Quantum ESPRESSO input file:
```
&SYSTEM
  ibrav = 0, nat = 5, ntyp = 3
/
ATOMIC_SPECIES
Rh 102.91 Rh.upf
Pb 207.20 Pb.upf
S 32.06 S.upf
CELL_PARAMETERS angstrom
5.2509 0.0000 0.0000
0.0000 5.2509 0.0000
0.0000 0.0000 5.2509
ATOMIC_POSITIONS crystal
Rh 0.0000 0.0000 0.0000
Pb 0.0000 0.0000 0.5000
Pb 0.0000 0.5000 0.0000
Pb 0.5000 0.0000 0.0000
S 0.5000 0.5000 0.5000
```

Size of the total moment: 0.00 μB/cell
Density: 8.68 Mg/m³
Space-group type: Pm-3m

=====

Winner for stability: <Q>

=====

<P>
VASP calculation (PBE) on Sb2Rh2Pb after structural relaxation. Values from VASP.

Quantum ESPRESSO input file:
```
&SYSTEM
  ibrav = 0, nat = 10, ntyp = 3
/
ATOMIC_SPECIES
Sb 121.76 Sb.upf
Rh 102.91 Rh.upf
Pb 207.20 Pb.upf
CELL_PARAMETERS angstrom
8.0242 0.0000 0.0000
0.0000 8.0242 0.0000
0.0000 0.0000 3.2266
ATOMIC_POSITIONS crystal
Sb 0.1497 0.3503 0.0000
Sb 0.3503 0.8503 0.0000
Sb 0.6497 0.1497 0.0000
Sb 0.8503 0.6497 0.0000
Rh 0.1320 0.6320 0.5000
Rh 0.3680 0.1320 0.5000
Rh 0.6320 0.8680 0.5000
Rh 0.8680 0.3680 0.5000
Pb 0.0000 0.0000 0.5000
Pb 0.5000 0.5000 0.5000
```

Size of the total moment: 0.00 μB/cell
Density: 10.50 Mg/m³
Space-group type: P4/mbm

=====

<Q>
VASP calculation (PBE) on Sb2Rh2Pb after structural relaxation. Values from VASP.

Quantum ESPRESSO input file:
```
&SYSTEM
  ibrav = 0, nat = 5, ntyp = 3
/
ATOMIC_SPECIES
Sb 121.76 Sb.upf
Rh 102.91 Rh.upf
Pb 207.20 Pb.upf
CELL_PARAMETERS angstrom
-2.3672 2.3672 5.1069
2.3672 -2.3672 5.1069
2.3672 2.3672 -5.1069
ATOMIC_POSITIONS crystal
Sb 0.2500 0.7500 0.5000
Sb 0.7500 0.2500 0.5000
Rh 0.1319 0.1319 0.0000
Rh 0.8681 0.8681 0.0000
Pb 0.5000 0.5000 0.0000
```

Size of the total moment: 0.00 μB/cell
Density: 9.52 Mg/m³
Space-group type: I4/mmm

=====

Winner for stability: <P>